Ac6P3SeS2 | GGA-PBE | relaxed

a = 9.8674 Å, b = 9.8674 Å, c = 8.8180 Å
α = 103.08°, β = 103.08°, γ = 25.80°
With the nearest neighbours (Å) after each atom.
Fractional coordinates of all 12 atoms:
Ac 0.0012 0.0012 0.2395  3 P 3.05-3.09, 1 S 3.15, 2 Se 3.19
Ac 0.3294 0.3294 0.4194  3 P 3.06-3.09, 2 S 3.15, 1 Se 3.19
Ac 0.3348 0.3348 0.9134  3 P 3.09, 3 S 3.14
Ac 0.6652 0.6652 0.0866  3 P 3.09, 3 S 3.14
Ac 0.6706 0.6706 0.5806  3 P 3.06-3.09, 2 S 3.15, 1 Se 3.19
Ac 0.9988 0.9988 0.7605  3 P 3.05-3.09, 1 S 3.15, 2 Se 3.19
P 0.1660 0.1660 0.3324  6 Ac 3.06-3.09
P 0.5000 0.5000 0.0000  6 Ac 3.05-3.09
P 0.8340 0.8340 0.6676  6 Ac 3.06-3.09
Se 0.5000 0.5000 0.5000  6 Ac 3.19
S 0.1672 0.1672 0.8334  6 Ac 3.14-3.15
S 0.8328 0.8328 0.1666  6 Ac 3.14-3.15

Results
E_tot (eV/atom): -6.1664
E_form (uncorrected) (meV per atom): -1781